(1)
Computed, not measured: an optimized crystal structure of Mn2IrRu at the GGA-PBE level of DFT.

CIF file:
```
data_Mn2IrRu
_chemical_formula_sum 'Mn2 Ir1 Ru1'
_cell_length_a 2.6522
_cell_length_b 2.6522
_cell_length_c 7.3090
_cell_angle_alpha 90.00
_cell_angle_beta 90.00
_cell_angle_gamma 90.00
_space_group_name_H-M_alt 'P 4/m m m'
_space_group_IT_number 123
_space_group_name_Hall '-P 4 2'
loop_
_atom_site_label
_atom_site_fract_x
_atom_site_fract_y
_atom_site_fract_z
Mn1 0.0000 0.0000 0.2488
Ir1 0.5000 0.5000 0.5000
Ru1 0.5000 0.5000 0.0000
```



(2)
# GGA-PBE LaTb7Sm3, optimized geometry
data_LaTb7Sm3
_chemical_formula_sum 'La1 Tb7 Sm3'
_cell_length_a 7.0138
_cell_length_b 5.5998
_cell_length_c 10.0226
_cell_angle_alpha 90.00
_cell_angle_beta 109.61
_cell_angle_gamma 90.00
_space_group_name_H-M_alt 'P 1 2/m 1'
_space_group_IT_number 10
_space_group_name_Hall '-P 2y'
loop_
_atom_site_label
_atom_site_fract_x
_atom_site_fract_y
_atom_site_fract_z
La1 0.0000 0.0000 0.0000
Tb1 0.0000 0.0000 0.5000
Tb2 0.1446 0.5000 0.7883
Tb3 0.3247 0.5000 0.1405
Tb4 0.4216 0.0000 0.3307
Sm1 0.2803 0.5000 0.4980
Sm2 0.5000 0.0000 0.0000
# energy above the lowest structure with this stoichiometry: 0 meV/atom



no.,DFT formation energy (meV per atom),total magnetic moment (μB per cell),DFT total energy (eV per atom)
1,-15,2.5,-9.134
2,136,0.0,-4.546